VASP calculation (PBE-GGA) on a geometry-optimized MnNi15Ge4 structure.

Its total magnetization is 4.972 μB/f.u. As for the raw total energy: -5.9601 eV/atom. Its calculated density is 8.915 g/cm3. The crystal system is tetragonal.

a b c (Å): 3.5811 3.5811 17.8059
angles (deg): 90.00 90.00 90.00
Last column: nearest neighbours and their distance in Å.
Fractional positions:
Mn1 0.0000 0.0000 0.0000  12 Ni 2.52-2.53
Ni1 0.0000 0.5000 0.0995  2 Ge 2.51, 8 Ni 2.52-2.53, 2 Mn 2.52
Ni2 0.0000 0.5000 0.2996  8 Ni 2.52-2.53, 4 Ge 2.53-2.54
Ni3 0.0000 0.5000 0.5000  8 Ni 2.53, 4 Ge 2.53
Ni4 0.0000 0.5000 0.7004  8 Ni 2.52-2.53, 4 Ge 2.53-2.54
Ni5 0.0000 0.5000 0.9005  2 Ge 2.51, 8 Ni 2.52-2.53, 2 Mn 2.52
Ni6 0.5000 0.0000 0.0995  2 Ge 2.51, 8 Ni 2.52-2.53, 2 Mn 2.52
Ni7 0.5000 0.0000 0.2996  8 Ni 2.52-2.53, 4 Ge 2.53-2.54
Ni8 0.5000 0.0000 0.5000  8 Ni 2.53, 4 Ge 2.53
Ni9 0.5000 0.0000 0.7004  8 Ni 2.52-2.53, 4 Ge 2.53-2.54
Ni10 0.5000 0.0000 0.9005  2 Ge 2.51, 8 Ni 2.52-2.53, 2 Mn 2.52
Ni11 0.5000 0.5000 0.0000  8 Ni 2.52, 4 Mn 2.53
Ni12 0.5000 0.5000 0.2002  8 Ni 2.52-2.53, 4 Ge 2.53
Ni13 0.5000 0.5000 0.3999  8 Ni 2.53, 4 Ge 2.53
Ni14 0.5000 0.5000 0.6001  8 Ni 2.53, 4 Ge 2.53
Ni15 0.5000 0.5000 0.7998  8 Ni 2.52-2.53, 4 Ge 2.53
Ge1 0.0000 0.0000 0.1985  12 Ni 2.51-2.54
Ge2 0.0000 0.0000 0.3997  12 Ni 2.53
Ge3 0.0000 0.0000 0.6003  12 Ni 2.53
Ge4 0.0000 0.0000 0.8015  12 Ni 2.51-2.54